No. 1
# Pm2CdSi

A PBEsol-optimized structure of Pm2CdSi (SCAN, the Alexandria database).

Output
The calculation puts the uncorrected formation energy at -1.8 eV/f.u. The crystal system is cubic. The volume is 24.19 A^3/atom.

```
data_Pm2CdSi
_cell_length_a 5.1528
_cell_length_b 5.1528
_cell_length_c 5.1528
_cell_angle_alpha 60.00
_cell_angle_beta 60.00
_cell_angle_gamma 60.00
_space_group_name_H-M_alt 'P 1'
_space_group_IT_number 1
loop_
_space_group_symop_operation_xyz
'x,y,z'
loop_
_atom_site_label
_atom_site_type_symbol
_atom_site_fract_x
_atom_site_fract_y
_atom_site_fract_z
Pm1 Pm 0.7500 0.7500 0.7500
Pm2 Pm 0.2500 0.2500 0.2500
Si1 Si 0.0000 0.0000 0.0000
Cd1 Cd 0.5000 0.5000 0.5000
```

---

No. 2
# Si2MoO6

A PBEsol-optimized structure of Si2MoO6 (SCAN, the Alexandria database).

Output
The calculation puts the uncorrected formation energy at -23.3 eV/f.u. The crystal system is orthorhombic. The volume is 11.26 A^3/atom.

```
data_Si2MoO6
_cell_length_a 5.1011
_cell_length_b 8.5137
_cell_length_c 18.6725
_cell_angle_alpha 90.00
_cell_angle_beta 90.00
_cell_angle_gamma 90.00
_space_group_name_H-M_alt 'P 1'
_space_group_IT_number 1
loop_
_space_group_symop_operation_xyz
'x,y,z'
loop_
_atom_site_label
_atom_site_type_symbol
_atom_site_fract_x
_atom_site_fract_y
_atom_site_fract_z
Si1 Si 0.0615 0.8483 0.2793
Si2 Si 0.0615 0.3483 0.2207
Si3 Si 0.2552 0.6533 0.9695
Si4 Si 0.7448 0.8467 0.4695
Si5 Si 0.2448 0.6533 0.4695
Si6 Si 0.5615 0.1517 0.2207
Si7 Si 0.9385 0.1517 0.7207
Si8 Si 0.4385 0.3483 0.7207
Si9 Si 0.9385 0.6517 0.7793
Si10 Si 0.2448 0.1533 0.0305
Si11 Si 0.2552 0.1533 0.5305
Si12 Si 0.7552 0.8467 0.9695
Si13 Si 0.5615 0.6517 0.2793
Si14 Si 0.4385 0.8483 0.7793
Si15 Si 0.7448 0.3467 0.0305
Si16 Si 0.7552 0.3467 0.5305
Mo1 Mo 0.9233 0.6796 0.1250
Mo2 Mo 0.9233 0.1796 0.3750
Mo3 Mo 0.0767 0.3204 0.8750
Mo4 Mo 0.4233 0.8204 0.1250
Mo5 Mo 0.4233 0.3204 0.3750
Mo6 Mo 0.0767 0.8204 0.6250
Mo7 Mo 0.5767 0.6796 0.6250
Mo8 Mo 0.5767 0.1796 0.8750
O1 O 0.9703 0.2267 0.0562
O2 O 0.5297 0.7267 0.9438
O3 O 0.7457 0.3413 0.9410
O4 O 0.0297 0.7733 0.9438
O5 O 0.7818 0.5201 0.0628
O6 O 0.7818 0.0201 0.4372
O7 O 0.7071 0.7673 0.8053
O8 O 0.2182 0.4799 0.9372
O9 O 0.0849 0.8438 0.1900
O10 O 0.0849 0.3438 0.3100
O11 O 0.4151 0.8438 0.6900
O12 O 0.9227 0.9777 0.6873
O13 O 0.0773 0.5223 0.1873
O14 O 0.7929 0.7673 0.3053
O15 O 0.2071 0.2327 0.6947
O16 O 0.2071 0.7327 0.8053
O17 O 0.5849 0.6562 0.1900
O18 O 0.0297 0.2733 0.5562
O19 O 0.2543 0.6587 0.0590
O20 O 0.2818 0.9799 0.0628
O21 O 0.7929 0.2673 0.1947
O22 O 0.5297 0.2267 0.5562
O23 O 0.7543 0.8413 0.0590
O24 O 0.2929 0.2327 0.1947
O25 O 0.7182 0.0201 0.9372
O26 O 0.4703 0.2733 0.0562
O27 O 0.7182 0.5201 0.5628
O28 O 0.5773 0.9777 0.1873
O29 O 0.2543 0.1587 0.4410
O30 O 0.4227 0.5223 0.6873
O31 O 0.5849 0.1562 0.3100
O32 O 0.5773 0.4777 0.3127
O33 O 0.2818 0.4799 0.4372
O34 O 0.7071 0.2673 0.6947
O35 O 0.9227 0.4777 0.8127
O36 O 0.4703 0.7733 0.4438
O37 O 0.7457 0.8413 0.5590
O38 O 0.9151 0.1562 0.8100
O39 O 0.2929 0.7327 0.3053
O40 O 0.9703 0.7267 0.4438
O41 O 0.9151 0.6562 0.6900
O42 O 0.2457 0.1587 0.9410
O43 O 0.4151 0.3438 0.8100
O44 O 0.4227 0.0223 0.8127
O45 O 0.2182 0.9799 0.5628
O46 O 0.7543 0.3413 0.4410
O47 O 0.2457 0.6587 0.5590
O48 O 0.0773 0.0223 0.3127
```